*P*
Compound: Bi2SbSe
Source: Alexandria via LeMat-Bulk
Functional: PBE
Structure: optimized geometry

The structure belongs to space group I-42d (No. 122); the cell edges are 7.627, 7.627 and 10.569 Å and the angles 90.00°, 90.00° and 90.00°. The inequivalent atoms are Bi at (0.240, 0.250, 0.125), Sb at (0.000, 0.000, 0.500) and Se at (0.000, 0.000, 0.000).

As for the size of the total moment: 0.0 μB/cell.



*Q*
Compound: Bi2SbSe
Source: Alexandria via LeMat-Bulk
Functional: PBE
Structure: optimized geometry

The structure belongs to space group R-3m (No. 166, hexagonal axes); the cell edges are 4.5690, 4.5690 and 20.3247 Å and the angles 90.00°, 90.00° and 120.00°. The inequivalent atoms are Bi at (0.0000, 0.0000, 0.2473), Sb at (0.0000, 0.0000, 0.0000) and Se at (0.0000, 0.0000, 0.5000).

As for the size of the total moment: 0.0 μB/cell.



*R*
Compound: Bi2SbSe
Source: Alexandria via LeMat-Bulk
Functional: PBE
Structure: optimized geometry

The structure belongs to space group R3m (No. 160, hexagonal axes); the cell edges are 4.2360, 4.2360 and 23.8513 Å and the angles 90.00°, 90.00° and 120.00°. The inequivalent atoms are Bi at (0.0000, 0.0000, 0.0000), Bi at (0.0000, 0.0000, 0.1695), Sb at (0.0000, 0.0000, 0.4197) and Se at (0.0000, 0.0000, 0.5908).

As for the size of the total moment: 0.0 μB/cell.



It is *Q* that is the most stable of them.



*P*
Compound: Bi2SbSe
Source: Alexandria via LeMat-Bulk
Functional: PBE
Structure: optimized geometry

The structure belongs to space group P2_1/c (No. 14); the cell edges are 8.298, 7.664 and 7.818 Å and the angles 90.00°, 90.01° and 90.00°. The inequivalent atoms are Bi at (0.117, 0.250, 0.001), Bi at (0.365, 0.750, 0.000), Sb at (0.375, 0.083, 0.250) and Se at (0.122, 0.555, 0.250).

As for the size of the total moment: 0.0 μB/cell.



*Q*
Compound: Bi2SbSe
Source: Alexandria via LeMat-Bulk
Functional: PBE
Structure: optimized geometry

The structure belongs to space group Fm-3m (No. 225); the cell edges are 7.599, 7.599 and 7.599 Å and the angles 90.00°, 90.00° and 90.00°. The inequivalent atoms are Bi at (0.250, 0.250, 0.250), Sb at (0.000, 0.000, 0.000) and Se at (0.000, 0.000, 0.500).

As for the size of the total moment: 0.0 μB/cell.



It is *P* that is the most stable of them.



*P*
Compound: BiSb2Se2
Source: Alexandria via LeMat-Bulk
Functional: PBE
Structure: optimized geometry

The structure belongs to space group P4/mbm (No. 127); the cell edges are 9.096, 9.096 and 3.708 Å and the angles 90.00°, 90.00° and 90.00°. The inequivalent atoms are Bi at (0.000, 0.000, 0.000), Sb at (0.223, 0.277, 0.000) and Se at (0.131, 0.631, 0.500).

As for the size of the total moment: 0.0 μB/cell.



*Q*
Compound: BiSb2Se2
Source: Alexandria via LeMat-Bulk
Functional: PBE
Structure: optimized geometry

The structure belongs to space group I4/mmm (No. 139); the cell edges are 4.910, 4.910 and 11.966 Å and the angles 90.00°, 90.00° and 90.00°. The inequivalent atoms are Bi at (0.000, 0.000, 0.000), Sb at (0.000, 0.000, 0.371) and Se at (0.000, 0.500, 0.250).

As for the size of the total moment: 0.0 μB/cell.



It is *P* that is the most stable of them.



*P*
Compound: Bi2SbSe2
Source: Alexandria via LeMat-Bulk
Functional: PBE
Structure: optimized geometry

The structure belongs to space group P2_1/m (No. 11); the cell edges are 5.825, 4.220 and 13.201 Å and the angles 90.00°, 97.84° and 90.00°. The inequivalent atoms are Bi at (0.209, 0.250, 0.179), Bi at (0.279, 0.250, 0.586), Sb at (0.253, 0.750, 0.019), Se at (0.224, 0.750, 0.418) and Se at (0.312, 0.750, 0.740).

As for the size of the total moment: 0.0 μB/cell.



*Q*
Compound: Bi2SbSe2
Source: Alexandria via LeMat-Bulk
Functional: PBE
Structure: optimized geometry

The structure belongs to space group P4/mbm (No. 127); the cell edges are 8.534, 8.534 and 3.782 Å and the angles 90.00°, 90.00° and 90.00°. The inequivalent atoms are Bi at (0.180, 0.320, 0.000), Sb at (0.000, 0.000, 0.500) and Se at (0.139, 0.639, 0.500).

As for the size of the total moment: 0.0 μB/cell.



It is *P* that is the most stable of them.



*P*
Compound: BiSbSe3
Source: Alexandria via LeMat-Bulk
Functional: PBE
Structure: optimized geometry

The structure belongs to space group Pm-3m (No. 221); the cell edges are 5.289, 5.289 and 5.289 Å and the angles 90.00°, 90.00° and 90.00°. The inequivalent atoms are Bi at (0.000, 0.000, 0.000), Sb at (0.500, 0.500, 0.500) and Se at (0.000, 0.500, 0.500).

As for the size of the total moment: 0.0 μB/cell.



*Q*
Compound: BiSbSe3
Source: Alexandria via LeMat-Bulk
Functional: PBE
Structure: optimized geometry

The structure belongs to space group Pnma (No. 62); the cell edges are 10.987, 4.127 and 13.748 Å and the angles 90.00°, 90.00° and 90.00°. The inequivalent atoms are Bi at (0.162, 0.250, 0.040), Sb at (0.034, 0.250, 0.634), Se at (0.024, 0.750, 0.129), Se at (0.146, 0.250, 0.462) and Se at (0.179, 0.750, 0.706).

As for the size of the total moment: 0.0 μB/cell.



*R*
Compound: BiSbSe3
Source: Alexandria via LeMat-Bulk
Functional: PBE
Structure: optimized geometry

The structure belongs to space group Pnma (No. 62); the cell edges are 12.590, 4.100 and 11.607 Å and the angles 90.00°, 90.00° and 90.00°. The inequivalent atoms are Bi at (0.019, 0.250, 0.166), Sb at (0.142, 0.750, 0.457), Se at (0.050, 0.250, 0.632), Se at (0.128, 0.750, 0.049) and Se at (0.206, 0.250, 0.308).

As for the size of the total moment: 0.0 μB/cell.



It is *Q* that is the most stable of them.



*P*
Compound: Si2BiSb
Source: Alexandria via LeMat-Bulk
Functional: PBE
Structure: optimized geometry

The structure belongs to space group I-42d (No. 122); the cell edges are 6.858, 6.858 and 10.096 Å and the angles 90.00°, 90.00° and 90.00°. The inequivalent atoms are Si at (0.231, 0.250, 0.125), Bi at (0.000, 0.000, 0.500) and Sb at (0.000, 0.000, 0.000).

As for the size of the total moment: 0.0 μB/cell.



*Q*
Compound: Si2BiSb
Source: Alexandria via LeMat-Bulk
Functional: PBE
Structure: optimized geometry

The structure belongs to space group Fm-3m (No. 225); the cell edges are 7.125, 7.125 and 7.125 Å and the angles 90.00°, 90.00° and 90.00°. The inequivalent atoms are Si at (0.250, 0.250, 0.250), Bi at (0.000, 0.000, 0.000) and Sb at (0.000, 0.000, 0.500).

As for the size of the total moment: 0.0 μB/cell.



It is *P* that is the most stable of them.



*P*
Compound: SiBiSb3
Source: Alexandria via LeMat-Bulk
Functional: PBE
Structure: optimized geometry

The structure belongs to space group Pm-3m (No. 221); the cell edges are 5.250, 5.250 and 5.250 Å and the angles 90.00°, 90.00° and 90.00°. The inequivalent atoms are Si at (0.000, 0.000, 0.000), Bi at (0.500, 0.500, 0.500) and Sb at (0.000, 0.000, 0.500).

As for the size of the total moment: 0.0 μB/cell.



*Q*
Compound: SiBiSb3
Source: Alexandria via LeMat-Bulk
Functional: PBE
Structure: optimized geometry

The structure belongs to space group Pm-3m (No. 221); the cell edges are 5.779, 5.779 and 5.779 Å and the angles 90.00°, 90.00° and 90.00°. The inequivalent atoms are Si at (0.000, 0.000, 0.000), Bi at (0.500, 0.500, 0.500) and Sb at (0.000, 0.500, 0.500).

As for the size of the total moment: 0.0 μB/cell.



It is *P* that is the most stable of them.



*P*
Compound: SiBi3Sb
Source: Alexandria via LeMat-Bulk
Functional: PBE
Structure: optimized geometry

The structure belongs to space group Pm-3m (No. 221); the cell edges are 5.807, 5.807 and 5.807 Å and the angles 90.00°, 90.00° and 90.00°. The inequivalent atoms are Si at (0.000, 0.000, 0.000), Bi at (0.000, 0.500, 0.500) and Sb at (0.500, 0.500, 0.500).

As for the size of the total moment: 0.0 μB/cell.



*Q*
Compound: SiBi3Sb
Source: Alexandria via LeMat-Bulk
Functional: PBE
Structure: optimized geometry

The structure belongs to space group Pm-3m (No. 221); the cell edges are 5.424, 5.424 and 5.424 Å and the angles 90.00°, 90.00° and 90.00°. The inequivalent atoms are Si at (0.000, 0.000, 0.000), Bi at (0.000, 0.000, 0.500) and Sb at (0.500, 0.500, 0.500).

As for the size of the total moment: 0.0 μB/cell.



It is *Q* that is the most stable of them.